VASP calculation (meta-GGA SCAN) on a PBEsol-optimized structure of Zr3AlTc.

Values from the calculation:
Offset from the most stable computed form (meV/atom): 739
Energy relative to the elements (meV per atom): 1102

```
data_Zr3AlTc
_chemical_formula_sum 'Zr3 Al1 Tc1'
_cell_length_a 4.835
_cell_length_b 4.835
_cell_length_c 4.835
_cell_angle_alpha 90.00
_cell_angle_beta 90.00
_cell_angle_gamma 90.00
_space_group_name_H-M_alt 'P m -3 m'
_space_group_IT_number 221
_space_group_name_Hall '-P 4 2 3'
loop_
_atom_site_label
_atom_site_fract_x
_atom_site_fract_y
_atom_site_fract_z
Zr1 0.000 0.000 0.500
Al1 0.000 0.000 0.000
Tc1 0.500 0.500 0.500
```